PBE with a Hubbard U TlVF3, relaxed; E above lowest polymorph = 164.5 meV per atom; calculated density = 5.567 g/cm3; crystal system = monoclinic; DFT total energy = -5.26 eV per atom; V = 186 Å³ per cell
1.0
-15.3932 -2.4696 3.3760
-7.4406 1.4012 -1.4780
7.0256 -2.8316 -1.4609
Tl V F
2 2 6
Cartesian
-5.6830 -4.6768 1.2320 Tl
-10.1253 0.7768 -0.7950 Tl
-16.6228 -0.6385 0.8115 V
0.8145 -3.2616 -0.3744 V
-8.1378 -3.2476 0.8831 F
-7.6705 -0.6524 -0.4460 F
1.9354 -1.7946 -1.2468 F
-17.7437 -2.1055 1.6839 F
-10.4556 -1.9928 0.5997 F
-5.3527 -1.9072 -0.1626 F